The following is a PBE+U calculation of crystalline ZrCrAu2O at its relaxed geometry, from Alexandria via LeMat-Bulk.

Lattice parameters (Å, degrees): 5.2175 5.2175 3.5213 90.00 90.00 90.00
Closest atoms and distances in Å follow each position.
Space group P4/mmm (No. 123)
One atom of each set of equivalent atoms:
Zr 0.0000 0.0000 0.0000 (multiplicity 1)  8 Au 3.15, 2 Zr 3.52
Cr 0.5000 0.5000 0.5000 (multiplicity 1)  2 O 1.76
Au 0.0000 0.5000 0.5000 (multiplicity 2)  2 Cr 2.61
O 0.5000 0.5000 0.0000 (multiplicity 1)  2 Cr 1.76

## Properties
Uncorrected energy (eV/atom): -5.7243